A relaxed structure of Mg2BeCd, computed with PBEsol. Values from VASP.

SG: Cm, No. 8
Magnetic moment, μB/cell: 0.0
Energy above the most stable polymorph in this dataset, kJ/mol of formula units: 15
Density of states at the Fermi level, states/eV/f.u.: 1.2

```
&SYSTEM
  ibrav = 0, nat = 4, ntyp = 3
/
ATOMIC_SPECIES
Mg 24.30 Mg.upf
Cd 112.41 Cd.upf
Be 9.01 Be.upf
CELL_PARAMETERS angstrom
-1.3870 0.2886 -2.6384
-2.1476 -4.5163 0.6351
-2.1458 3.7201 3.2344
ATOMIC_POSITIONS angstrom
Mg -0.1303 -0.0646 0.0614
Mg -2.7203 -1.3664 1.2806
Cd -2.7994 1.2718 -0.0888
Be -3.9436 1.2577 2.2107
```

***

A relaxed structure of Ca2FeRh, computed with PBEsol. Values from VASP.

SG: C2/m, No. 12
Magnetic moment, μB/cell: 2.4
DFT total energy, eV/atom: -4.8379
Density of states at the Fermi level, states/eV/f.u.: 5.1

```
&SYSTEM
  ibrav = 0, nat = 4, ntyp = 3
/
ATOMIC_SPECIES
Ca 40.08 Ca.upf
Rh 102.91 Rh.upf
Fe 55.84 Fe.upf
CELL_PARAMETERS angstrom
3.1330 0.0000 0.0000
-1.5665 4.4668 -0.0244
0.0000 -0.8778 5.6312
ATOMIC_POSITIONS angstrom
Ca 0.0000 1.9677 1.3505
Ca 1.5665 1.6213 4.2563
Rh 1.5665 0.0000 0.0000
Fe 0.0000 -0.4389 2.8156
```